Run a
The following is a PBE calculation of crystalline AlRh2Br at its relaxed geometry, from the Alexandria database.

a b c (Å): 3.122 3.122 7.347
angles (deg): 90.00 90.00 90.00
Site moments in Bohr magnetons follow the coordinates.
Fractional positions:
Rh: 0.000 0.000 0.024  0.62
Rh: 0.500 0.500 0.264  0.18
Br: 0.500 0.500 0.797  0.08
Al: 0.000 0.000 0.415  0.00

Summary:
N(E_F): 1.407 states/eV per atom
SG: P4mm, No. 99



Run b
The following is a PBE calculation of crystalline AlRh2Br at its relaxed geometry, from the Alexandria database.

a b c (Å): 4.532 4.532 4.532
angles (deg): 60.00 60.00 60.00
Site moments in Bohr magnetons follow the coordinates.
Fractional positions:
Al: 0.500 0.500 0.500  -0.01
Rh: 0.000 0.000 0.000  0.69
Rh: 0.750 0.750 0.750  0.47
Br: 0.250 0.250 0.250  0.04

Summary:
N(E_F): 1.342 states/eV per atom
SG: F-43m, No. 216



Verdict on stability: run a comes out on top.



Run a
The following is a PBE calculation of crystalline La2YCl at its relaxed geometry, from the Alexandria database.

a b c (Å): 3.591 3.591 9.744
angles (deg): 90.00 90.00 90.00
Fractional positions:
Cl: 0.500 0.500 0.750
La: 0.000 0.000 0.971
La: 0.000 0.000 0.529
Y: 0.500 0.500 0.250

Summary:
N(E_F): 1.355 states/eV per atom
SG: P4/mmm, No. 123



Run b
The following is a PBE calculation of crystalline La2YCl at its relaxed geometry, from the Alexandria database.

a b c (Å): 3.563 5.937 5.844
angles (deg): 90.00 90.00 90.00
Fractional positions:
La: 0.000 0.000 0.000
La: 0.500 0.500 0.000
Cl: 0.000 0.500 0.500
Y: 0.500 0.000 0.500

Summary:
N(E_F): 1.119 states/eV per atom
SG: Pmmm, No. 47



Verdict on stability: run a comes out on top.



Run a
The following is a PBE calculation of crystalline Zn2FeCo at its relaxed geometry, from the Alexandria database.

a b c (Å): 4.872 4.872 4.048
angles (deg): 63.91 63.91 36.20
Site moments in Bohr magnetons follow the coordinates.
Fractional positions:
Co: 0.750 0.750 0.750  1.43
Fe: 0.250 0.250 0.250  2.59
Zn: 0.496 0.496 0.504  -0.04
Zn: 0.004 0.004 0.996  -0.04

Summary:
N(E_F): 0.627 states/eV per atom
SG: C2/m, No. 12



Run b
The following is a PBE calculation of crystalline Zn2FeCo at its relaxed geometry, from the Alexandria database.

a b c (Å): 2.619 2.619 8.632
angles (deg): 81.27 81.27 60.00
Site moments in Bohr magnetons follow the coordinates.
Fractional positions:
Fe: 0.500 0.500 0.500  2.50
Zn: 0.251 0.251 0.246  -0.04
Zn: 0.082 0.082 0.754  -0.04
Co: 0.667 0.667 0.000  1.54

Summary:
N(E_F): 0.991 states/eV per atom
SG: R3m, No. 160



Verdict on stability: run a comes out on top.



Run a
The following is a PBE calculation of crystalline FeAgSb2 at its relaxed geometry, from the Alexandria database.

a b c (Å): 4.631 4.631 6.472
angles (deg): 70.57 70.57 40.53
Site moments in Bohr magnetons follow the coordinates.
Fractional positions:
Sb: 0.770 0.770 0.764  -0.04
Sb: 0.927 0.927 0.164  -0.04
Fe: 0.230 0.230 0.087  0.96
Ag: 0.574 0.574 0.484  -0.01

Summary:
N(E_F): 0.420 states/eV per atom
SG: Cm, No. 8



Run b
The following is a PBE calculation of crystalline FeAgSb2 at its relaxed geometry, from the Alexandria database.

a b c (Å): 3.135 3.154 8.342
angles (deg): 89.31 90.00 90.00
Site moments in Bohr magnetons follow the coordinates.
Fractional positions:
Fe: 0.500 0.750 0.750  1.20
Ag: 0.500 0.250 0.250  0.00
Sb: 0.000 0.256 0.559  -0.03
Sb: 0.000 0.244 0.941  -0.03

Summary:
N(E_F): 0.359 states/eV per atom
SG: P2/m, No. 10



Verdict on stability: run a comes out on top.



Run a
The following is a PBE calculation of crystalline Ag2HgCl at its relaxed geometry, from the Alexandria database.

a b c (Å): 5.652 5.652 3.209
angles (deg): 74.71 74.71 109.66
Fractional positions:
Ag: 0.000 0.000 0.000
Ag: 0.500 0.500 0.000
Cl: 0.500 0.000 0.500
Hg: 0.000 0.500 0.500

Summary:
N(E_F): 0.164 states/eV per atom
SG: C2/m, No. 12



Run b
The following is a PBE calculation of crystalline Ag2HgCl at its relaxed geometry, from the Alexandria database.

a b c (Å): 5.735 5.735 5.735
angles (deg): 147.79 115.60 73.85
Fractional positions:
Ag: 0.490 0.490 0.000
Ag: 0.010 0.010 0.000
Cl: 0.250 0.750 0.500
Hg: 0.750 0.250 0.500

Summary:
N(E_F): 0.162 states/eV per atom
SG: Immm, No. 71



Verdict on stability: run b comes out on top.



Run a
The following is a PBE calculation of crystalline MnCoSb2 at its relaxed geometry, from the Alexandria database.

a b c (Å): 5.178 5.178 3.998
angles (deg): 89.99 89.99 41.32
Site moments in Bohr magnetons follow the coordinates.
Fractional positions:
Co: 0.548 0.548 0.375  0.65
Sb: 0.984 0.984 0.875  -0.08
Sb: 0.268 0.268 0.375  -0.07
Mn: 0.700 0.700 0.875  2.88

Summary:
N(E_F): 0.801 states/eV per atom
SG: Amm2, No. 38



Run b
The following is a PBE calculation of crystalline MnCoSb2 at its relaxed geometry, from the Alexandria database.

a b c (Å): 3.875 3.875 6.435
angles (deg): 72.65 72.65 60.00
Site moments in Bohr magnetons follow the coordinates.
Fractional positions:
Co: 0.250 0.250 0.250  0.58
Sb: 0.511 0.511 0.467  -0.06
Sb: 0.989 0.989 0.033  -0.06
Mn: 0.750 0.750 0.750  3.76

Summary:
N(E_F): 0.520 states/eV per atom
SG: C2/m, No. 12



Verdict on stability: run a comes out on top.



Run a
The following is a PBE calculation of crystalline Mg2PBr at its relaxed geometry, from the Alexandria database.

a b c (Å): 5.086 4.299 4.299
angles (deg): 76.91 90.00 90.00
Fractional positions:
Mg: 0.500 0.386 0.386
Mg: 0.000 0.968 0.967
P: 0.000 0.348 0.348
Br: 0.500 0.798 0.798

Summary:
SG: Amm2, No. 38



Run b
The following is a PBE calculation of crystalline Mg2PBr at its relaxed geometry, from the Alexandria database.

a b c (Å): 4.466 5.451 3.400
angles (deg): 90.00 90.00 90.00
Fractional positions:
Mg: 0.500 0.500 0.000
Mg: 0.000 0.000 0.000
P: 0.500 0.000 0.500
Br: 0.000 0.500 0.500

Summary:
N(E_F): 0.306 states/eV per atom
SG: Pmmm, No. 47



Verdict on stability: run a comes out on top.



Run a
The following is a PBE calculation of crystalline B5C7 at its relaxed geometry, from the Alexandria database.

a b c (Å): 6.928 7.395 7.395
angles (deg): 159.85 142.72 43.08
Fractional positions:
B: 0.014 0.995 0.019
B: 0.555 0.275 0.280
B: 0.481 0.143 0.339
B: 0.482 0.847 0.635
B: 0.021 0.336 0.684
C: 0.153 0.457 0.696
C: 0.636 0.617 0.019
C: 0.002 0.673 0.329
C: 0.641 0.967 0.674
C: 0.091 0.787 0.304
C: 0.519 0.501 0.018
C: 0.155 0.151 0.004

Summary:
N(E_F): 0.130 states/eV per atom
SG: Cm, No. 8



Run b
The following is a PBE calculation of crystalline B5C7 at its relaxed geometry, from the Alexandria database.

a b c (Å): 2.580 3.879 7.892
angles (deg): 90.00 90.00 90.00
Fractional positions:
C: 0.000 0.232 0.509
C: 0.000 0.246 0.167
C: 0.500 0.772 0.667
C: 0.000 0.232 0.824
C: 0.000 0.001 0.667
C: 0.500 0.748 0.993
C: 0.500 0.748 0.340
B: 0.500 0.500 0.500
B: 0.000 0.011 0.001
B: 0.000 0.011 0.332
B: 0.500 0.498 0.167
B: 0.500 0.500 0.833

Summary:
N(E_F): 0.198 states/eV per atom
SG: Pmm2, No. 25



Verdict on stability: run a comes out on top.